1.
! HfSnTe3 PBE relaxed; values from VASP
&SYSTEM
  ibrav = 0, nat = 5, ntyp = 3
/
ATOMIC_SPECIES
Hf 178.49 Hf.upf
Sn 118.71 Sn.upf
Te 127.60 Te.upf
CELL_PARAMETERS angstrom
5.564 0.000 0.000
0.000 5.564 0.000
0.000 0.000 5.564
ATOMIC_POSITIONS angstrom
Hf 0.000 0.000 0.000
Sn 2.782 2.782 2.782
Te 0.000 2.782 0.000
Te 0.000 0.000 2.782
Te 2.782 0.000 0.000
! SG: Pm-3m, No. 221
! Density (Mg/m³): 6.6
! Energy above the most stable polymorph in this dataset (eV/f.u.): 1.775
! Raw formation energy (eV per formula unit): -0.6
! Uncorrected energy (eV per atom): -4.7869

2.
! Dy2CuGe3Pt4 PBE relaxed; values from VASP
&SYSTEM
  ibrav = 0, nat = 10, ntyp = 4
/
ATOMIC_SPECIES
Pt 195.08 Pt.upf
Dy 162.50 Dy.upf
Ge 72.64 Ge.upf
Cu 63.55 Cu.upf
CELL_PARAMETERS angstrom
4.240 0.000 0.000
0.000 4.240 0.000
0.000 0.000 10.285
ATOMIC_POSITIONS angstrom
Pt 0.000 2.120 3.779
Pt 2.120 0.000 6.506
Pt 2.120 2.120 0.000
Pt 0.000 0.000 0.000
Dy 2.120 0.000 2.673
Dy 0.000 2.120 7.612
Ge 0.000 0.000 5.142
Ge 0.000 2.120 1.386
Ge 2.120 0.000 8.899
Cu 2.120 2.120 5.142
! SG: P-4m2, No. 115
! Density (Mg/m³): 12.5
! ΔE_f (meV/atom): -832
! Uncorrected energy (eV per atom): -5.9633

3.
! KCoBr PBE relaxed; values from VASP
&SYSTEM
  ibrav = 0, nat = 3, ntyp = 3
/
ATOMIC_SPECIES
Co 58.93 Co.upf
K 39.10 K.upf
Br 79.90 Br.upf
CELL_PARAMETERS angstrom
5.282 0.000 0.000
2.641 4.575 0.000
2.641 1.525 4.313
ATOMIC_POSITIONS angstrom
Co 0.000 0.000 0.000
K 5.282 3.050 2.157
Br 7.924 4.575 3.235
! SG: F-43m, No. 216
! Density (Mg/m³): 2.8
! Energy above the most stable polymorph in this dataset (eV/f.u.): 1.216
! Raw formation energy (eV per formula unit): 1.4
! Uncorrected energy (eV per atom): -2.8240

> Which of these has the highest uncorrected energy?

KCoBr

> density of number 3 (KCoBr)?

2.8 Mg/m³

> Among the records above, which one has the lowest uncorrected energy?

Dy2CuGe3Pt4